Version P
Material: La8Nd3Tm2
Method: DFT, PBE-GGA
State: optimized geometry

Cell lengths 20.5918, 7.7619, 5.9343 Å; angles 90.00, 90.03, 90.00 degrees
Space group C2/m (No. 12)
Unique sites:
La 0.1072 0.2041 0.0008 (multiplicity 8)
La 0.1353 0.5000 0.5001 (multiplicity 4)
La 0.1762 0.0000 0.5012 (multiplicity 4)
Nd 0.0000 0.2170 0.5000 (multiplicity 4)
Nd 0.0000 0.5000 0.0000 (multiplicity 2)
Tm 0.2412 0.5000 0.9989 (multiplicity 4)



Version Q
Material: La8Nd3Tm2
Method: DFT, PBE-GGA
State: optimized geometry

Cell lengths 13.4668, 11.9456, 6.2610 Å; angles 90.00, 112.64, 90.00 degrees
Space group C2/m (No. 12)
Unique sites:
La 0.0525 0.0000 0.2956 (multiplicity 4)
La 0.1454 0.5000 0.5546 (multiplicity 4)
La 0.1759 0.2416 0.1740 (multiplicity 8)
Nd 0.0000 0.2524 0.5000 (multiplicity 4)
Nd 0.0000 0.5000 0.0000 (multiplicity 2)
Tm 0.2116 0.0000 0.8445 (multiplicity 4)



The least stable of them is version P.



Version P
Material: La2Nd5Tm3
Method: DFT, PBE-GGA
State: optimized geometry

Cell lengths 11.0281, 15.7312, 9.7022 Å; angles 90.00, 124.34, 90.00 degrees
Space group C2/c (No. 15)
Unique sites:
La 0.1448 0.1230 0.0521 (multiplicity 8)
Nd 0.0000 0.2294 0.2500 (multiplicity 4)
Nd 0.0000 0.2685 0.7500 (multiplicity 4)
Nd 0.0000 0.4673 0.7500 (multiplicity 4)
Nd 0.2314 0.3841 0.2229 (multiplicity 8)
Tm 0.0000 0.0243 0.2500 (multiplicity 4)
Tm 0.1585 0.3800 0.5462 (multiplicity 8)



Version Q
Material: La2Nd5Tm3
Method: DFT, PBE-GGA
State: optimized geometry

Cell lengths 12.2876, 17.3928, 6.5322 Å; angles 90.00, 90.00, 90.00 degrees
Space group Ibam (No. 72)
Unique sites:
La 0.0846 0.1691 0.0000 (multiplicity 8)
Nd 0.0000 0.5000 0.2500 (multiplicity 4)
Nd 0.2309 0.3327 0.0000 (multiplicity 8)
Nd 0.2469 0.0000 0.2500 (multiplicity 8)
Tm 0.0000 0.0000 0.2500 (multiplicity 4)
Tm 0.0959 0.3324 0.5000 (multiplicity 8)



The least stable of them is version Q.